DFT (PBE) results for crystalline LiPrCdAu at its relaxed geometry. Values from VASP.

Geometry as Quantum ESPRESSO input:
```
&SYSTEM
  ibrav = 0, nat = 4, ntyp = 4
/
ATOMIC_SPECIES
Au 196.97 Au.upf
Li 6.94 Li.upf
Cd 112.41 Cd.upf
Pr 140.91 Pr.upf
CELL_PARAMETERS angstrom
5.008 0.000 0.000
2.504 4.337 0.000
2.504 1.446 4.089
ATOMIC_POSITIONS crystal
Au 0.500 0.500 0.500
Li 0.000 0.000 0.000
Cd 0.750 0.750 0.750
Pr 0.250 0.250 0.250
```

Summary:
Space group   F-43m, No. 216
ΔH_f (0 K)   -43.2 kJ per mole of atoms
Final energy   -3.1690 eV/atom
D(E_F)   1.5548 states/eV per atom